## Pm6SiPt2I3 (PBE)

Data for Pm6SiPt2I3 after structural relaxation.

```
12
Lattice="7.4411 -0.0040 -0.0001 -3.7223 6.4432 -0.0001 -1.2409 -2.1486 7.8420" Properties=species:S:1:pos:R:3 pbc="T T T"
Pm -1.2607 2.1984 1.4964
Pm 2.4544 4.2498 1.4968
Pm -0.0562 4.2840 6.3454
Pm 2.5342 0.0066 1.4964
Pm 0.0236 0.0408 6.3449
Pm 3.7387 2.0922 6.3454
Pt 3.7257 2.1418 -0.0001
Pt -0.0068 4.2974 -0.0001
I -2.5337 4.3242 3.9209
I 5.0117 -0.0336 3.9209
I 1.2390 2.1453 3.9209
Si 0.0000 0.0000 0.0000
```



## TbPmPtI (PBE)

Data for TbPmPtI after structural relaxation.

```
4
Lattice="4.2038 -0.0003 -0.0004 -2.1012 3.6403 0.0000 -2.1020 -1.2133 8.0320" Properties=species:S:1:pos:R:3 pbc="T T T"
Tb -1.7040 3.3741 0.4155
I 2.4981 0.9473 2.8872
Pm 0.3971 -0.2662 5.4940
Pt -1.7045 0.9473 7.0227
```



## PmTmPtI (PBE)

Data for PmTmPtI after structural relaxation.

```
4
Lattice="4.1734 -0.0005 -0.0006 -2.0862 3.6140 0.0000 -2.0871 -1.2043 7.9806" Properties=species:S:1:pos:R:3 pbc="T T T"
Tm -1.6919 3.3496 0.3960
I 2.4803 0.9404 2.8609
Pm 0.3939 -0.2643 5.4496
Pt -1.6926 0.9405 7.0117
```



## PmYPtI (PBE)

Data for PmYPtI after structural relaxation.

```
4
Lattice="4.1988 0.0000 -0.0010 -2.0985 3.6360 0.0008 -2.0993 -1.2115 8.0161" Properties=species:S:1:pos:R:3 pbc="T T T"
Pm 0.3956 -0.2646 5.4833
Y -1.7015 3.3699 0.4281
Pt -1.7028 0.9469 7.0085
I 2.4972 0.9453 2.8689
```



## PmPuI4 (PBE)

Data for PmPuI4 after structural relaxation.

```
6
Lattice="-1.6704 -1.7249 3.5417 2.7094 -7.4966 -2.3733 5.4621 3.0526 4.0628" Properties=species:S:1:pos:R:3 pbc="T T T"
Pu 4.0857 -2.2220 0.8448
I 5.2745 -4.1821 3.0356
I 4.7971 0.4218 2.4679
I 3.3744 -4.8658 -0.7784
I 1.2265 -1.9868 2.1956
Pm 0.5195 -4.6108 0.5842
```



## PmPuI6 (PBE)

Data for PmPuI6 after structural relaxation.

```
8
Lattice="-2.6922 7.0531 -1.2987 -7.0821 -3.8798 0.5532 4.6732 1.6822 6.3911" Properties=species:S:1:pos:R:3 pbc="T T T"
I -2.6169 4.7412 0.7523
I -2.4842 0.1143 4.8933
I -2.0581 4.4861 5.1059
I -5.5946 2.8128 3.3496
I -3.0430 0.3694 0.5397
I 0.4935 2.0427 2.2960
Pu 0.0000 0.0000 0.0000
Pm -2.5505 2.4277 2.8228
```

## Properties
relative energy among the computed polymorphs: 0.0 meV per atom



## Pm2PuI6 (PBE)

Data for Pm2PuI6 after structural relaxation.

```
9
Lattice="4.2596 0.0000 0.0000 -2.1298 8.1524 -3.1410 0.0000 -0.2898 11.0680" Properties=species:S:1:pos:R:3 pbc="T T T"
I 2.1297 7.6015 -0.7537
I 2.1298 2.1506 5.0883
I 0.0000 0.2613 8.6806
I 0.0000 4.8318 7.5892
I 2.1297 3.0310 0.3377
I 0.0000 5.7120 2.8387
Pm 2.1297 2.5963 8.2672
Pm -0.0001 5.2664 -0.3402
Pu 4.2596 -0.1449 5.5340
```



## PmPuI6 (PBE)

Data for PmPuI6 after structural relaxation.

```
8
Lattice="-5.1005 5.3861 -2.1930 -6.7960 -2.1146 -3.0292 -6.8558 1.0154 4.7853" Properties=species:S:1:pos:R:3 pbc="T T T"
I -9.5804 4.6261 1.6545
I -9.1719 -0.3391 -2.0914
I -8.3652 0.3788 2.1423
I -6.4203 2.9176 -0.8369
I -12.3319 1.3694 0.3999
I -10.3870 3.9082 -2.5793
Pu 0.0000 0.0000 0.0000
Pm -9.3761 2.1435 -0.2185
```

## Properties
relative energy among the computed polymorphs: 23.5 meV per atom



For reference, calculated total energy by record: -0.3845 -0.3939 -0.3902 -0.4267 -0.3956 -0.3488 -0.3591 -0.3471 Ry per atom.